# PBE TmHgPtSe3, relaxed
data_TmHgPtSe3
_space_group_name_H-M_alt 'C m c m'
_space_group_IT_number 63
_space_group_name_Hall '-C 2c 2'
_cell_length_a 3.891
_cell_length_b 15.185
_cell_length_c 9.968
_cell_angle_alpha 90.00
_cell_angle_beta 90.00
_cell_angle_gamma 90.00
loop_
_atom_site_label
_atom_site_fract_x
_atom_site_fract_y
_atom_site_fract_z
Tm1 0.000 0.000 0.000
Hg1 0.000 0.248 0.250
Pt1 0.000 0.488 0.750
Se1 0.000 0.098 0.750
Se2 0.000 0.372 0.575
# Calculated total energy ... -4.27 eV/atom
# Spin magnetization ... 0.0 Bohr magnetons per cell
# Crystal system ... orthorhombic

***

# PBE SiHgPt, relaxed
data_SiHgPt
_space_group_name_H-M_alt 'F -4 3 m'
_space_group_IT_number 216
_space_group_name_Hall 'F -4 2 3'
_cell_length_a 6.228
_cell_length_b 6.228
_cell_length_c 6.228
_cell_angle_alpha 90.00
_cell_angle_beta 90.00
_cell_angle_gamma 90.00
loop_
_atom_site_label
_atom_site_fract_x
_atom_site_fract_y
_atom_site_fract_z
Si1 0.000 0.000 0.000
Hg1 0.000 0.000 0.500
Pt1 0.250 0.250 0.750
# Calculated total energy ... -3.88 eV/atom
# Spin magnetization ... 0.0 Bohr magnetons per cell
# Crystal system ... cubic

***

# PBE SiHg2Pt, relaxed
data_SiHg2Pt
_space_group_name_H-M_alt 'F -4 3 m'
_space_group_IT_number 216
_space_group_name_Hall 'F -4 2 3'
_cell_length_a 6.751
_cell_length_b 6.751
_cell_length_c 6.751
_cell_angle_alpha 90.00
_cell_angle_beta 90.00
_cell_angle_gamma 90.00
loop_
_atom_site_label
_atom_site_fract_x
_atom_site_fract_y
_atom_site_fract_z
Si1 0.000 0.000 0.000
Hg1 0.000 0.000 0.500
Hg2 0.250 0.250 0.750
Pt1 0.250 0.250 0.250
# Calculated total energy ... -2.66 eV/atom
# Spin magnetization ... 0.0 Bohr magnetons per cell
# Crystal system ... cubic

***

# PBE SmHgPt, relaxed
data_SmHgPt
_space_group_name_H-M_alt 'F -4 3 m'
_space_group_IT_number 216
_space_group_name_Hall 'F -4 2 3'
_cell_length_a 6.886
_cell_length_b 6.886
_cell_length_c 6.886
_cell_angle_alpha 90.00
_cell_angle_beta 90.00
_cell_angle_gamma 90.00
loop_
_atom_site_label
_atom_site_fract_x
_atom_site_fract_y
_atom_site_fract_z
Sm1 0.000 0.000 0.000
Hg1 0.250 0.250 0.750
Pt1 0.250 0.250 0.250
# Calculated total energy ... -4.06 eV/atom
# ΔE_f ... -368 meV per atom
# Spin magnetization ... 0.0 Bohr magnetons per cell
# Crystal system ... cubic

***

# PBE SmHgPt, relaxed
data_SmHgPt
_space_group_name_H-M_alt 'F -4 3 m'
_space_group_IT_number 216
_space_group_name_Hall 'F -4 2 3'
_cell_length_a 6.750
_cell_length_b 6.750
_cell_length_c 6.750
_cell_angle_alpha 90.00
_cell_angle_beta 90.00
_cell_angle_gamma 90.00
loop_
_atom_site_label
_atom_site_fract_x
_atom_site_fract_y
_atom_site_fract_z
Sm1 0.000 0.000 0.000
Hg1 0.000 0.000 0.500
Pt1 0.250 0.250 0.750
# Calculated total energy ... -4.43 eV/atom
# ΔE_f ... -742 meV per atom
# Spin magnetization ... 0.0 Bohr magnetons per cell
# Crystal system ... cubic

***

# PBE SnHgPt, relaxed
data_SnHgPt
_space_group_name_H-M_alt 'F -4 3 m'
_space_group_IT_number 216
_space_group_name_Hall 'F -4 2 3'
_cell_length_a 6.514
_cell_length_b 6.514
_cell_length_c 6.514
_cell_angle_alpha 90.00
_cell_angle_beta 90.00
_cell_angle_gamma 90.00
loop_
_atom_site_label
_atom_site_fract_x
_atom_site_fract_y
_atom_site_fract_z
Sn1 0.000 0.000 0.000
Hg1 0.000 0.000 0.500
Pt1 0.250 0.250 0.750
# Calculated total energy ... -3.69 eV/atom
# Spin magnetization ... 0.0 Bohr magnetons per cell
# Crystal system ... cubic

***

# PBE SrHgPt2, relaxed
data_SrHgPt2
_space_group_name_H-M_alt 'F -4 3 m'
_space_group_IT_number 216
_space_group_name_Hall 'F -4 2 3'
_cell_length_a 6.948
_cell_length_b 6.948
_cell_length_c 6.948
_cell_angle_alpha 90.00
_cell_angle_beta 90.00
_cell_angle_gamma 90.00
loop_
_atom_site_label
_atom_site_fract_x
_atom_site_fract_y
_atom_site_fract_z
Sr1 0.000 0.000 0.000
Hg1 0.250 0.250 0.250
Pt1 0.000 0.000 0.500
Pt2 0.250 0.250 0.750
# Calculated total energy ... -3.73 eV/atom
# Spin magnetization ... 0.0 Bohr magnetons per cell
# Crystal system ... cubic

***

# PBE Sr3HgPt8, relaxed
data_Sr3HgPt8
_space_group_name_H-M_alt 'R 3 m'
_space_group_IT_number 160
_space_group_name_Hall 'R 3 -2"'
_cell_length_a 5.5101
_cell_length_b 5.5101
_cell_length_c 26.9857
_cell_angle_alpha 90.00
_cell_angle_beta 90.00
_cell_angle_gamma 120.00
loop_
_atom_site_label
_atom_site_fract_x
_atom_site_fract_y
_atom_site_fract_z
Sr1 0.0000 0.0000 0.0000
Sr2 0.0000 0.0000 0.1284
Sr3 0.0000 0.0000 0.5087
Hg1 0.0000 0.0000 0.6298
Pt1 0.0000 0.0000 0.3158
Pt2 0.0000 0.0000 0.8163
Pt3 0.0000 0.5000 0.5665
Pt4 0.1677 0.3354 0.3991
# Calculated total energy ... -5.20 eV/atom
# Spin magnetization ... 0.0 Bohr magnetons per cell
# Crystal system ... trigonal

***

# PBE TaHgPt, relaxed
data_TaHgPt
_space_group_name_H-M_alt 'F -4 3 m'
_space_group_IT_number 216
_space_group_name_Hall 'F -4 2 3'
_cell_length_a 6.342
_cell_length_b 6.342
_cell_length_c 6.342
_cell_angle_alpha 90.00
_cell_angle_beta 90.00
_cell_angle_gamma 90.00
loop_
_atom_site_label
_atom_site_fract_x
_atom_site_fract_y
_atom_site_fract_z
Ta1 0.000 0.000 0.000
Hg1 0.250 0.250 0.750
Pt1 0.250 0.250 0.250
# Calculated total energy ... -5.74 eV/atom
# ΔE_f ... 326 meV per atom
# Spin magnetization ... 0.0 Bohr magnetons per cell
# Crystal system ... cubic

***

# PBE Ta2HgPt, relaxed
data_Ta2HgPt
_space_group_name_H-M_alt 'F -4 3 m'
_space_group_IT_number 216
_space_group_name_Hall 'F -4 2 3'
_cell_length_a 6.601
_cell_length_b 6.601
_cell_length_c 6.601
_cell_angle_alpha 90.00
_cell_angle_beta 90.00
_cell_angle_gamma 90.00
loop_
_atom_site_label
_atom_site_fract_x
_atom_site_fract_y
_atom_site_fract_z
Ta1 0.000 0.000 0.000
Ta2 0.250 0.250 0.250
Hg1 0.250 0.250 0.750
Pt1 0.000 0.000 0.500
# Calculated total energy ... -7.26 eV/atom
# ΔE_f ... 251 meV per atom
# Spin magnetization ... 2.9 Bohr magnetons per cell
# Crystal system ... cubic

***

# PBE Tb3HgPt8, relaxed
data_Tb3HgPt8
_space_group_name_H-M_alt 'R 3 m'
_space_group_IT_number 160
_space_group_name_Hall 'R 3 -2"'
_cell_length_a 5.4180
_cell_length_b 5.4180
_cell_length_c 26.5947
_cell_angle_alpha 90.00
_cell_angle_beta 90.00
_cell_angle_gamma 120.00
loop_
_atom_site_label
_atom_site_fract_x
_atom_site_fract_y
_atom_site_fract_z
Tb1 0.0000 0.0000 0.0000
Tb2 0.0000 0.0000 0.1291
Tb3 0.0000 0.0000 0.6139
Hg1 0.0000 0.0000 0.4932
Pt1 0.0000 0.0000 0.3098
Pt2 0.0000 0.0000 0.8096
Pt3 0.0038 0.5019 0.5612
Pt4 0.1675 0.3351 0.3913
# Calculated total energy ... -6.17 eV/atom
# ΔE_f ... -948 meV per atom
# Spin magnetization ... 0.0 Bohr magnetons per cell
# Crystal system ... trigonal

***

# PBE TcHgPt2, relaxed
data_TcHgPt2
_space_group_name_H-M_alt 'F -4 3 m'
_space_group_IT_number 216
_space_group_name_Hall 'F -4 2 3'
_cell_length_a 6.417
_cell_length_b 6.417
_cell_length_c 6.417
_cell_angle_alpha 90.00
_cell_angle_beta 90.00
_cell_angle_gamma 90.00
loop_
_atom_site_label
_atom_site_fract_x
_atom_site_fract_y
_atom_site_fract_z
Tc1 0.000 0.000 0.000
Hg1 0.250 0.250 0.250
Pt1 0.000 0.000 0.500
Pt2 0.250 0.250 0.750
# Calculated total energy ... -5.34 eV/atom
# ΔE_f ... 348 meV per atom
# Spin magnetization ... 4.3 Bohr magnetons per cell
# Crystal system ... cubic

***

# PBE TcHgPt, relaxed
data_TcHgPt
_space_group_name_H-M_alt 'F -4 3 m'
_space_group_IT_number 216
_space_group_name_Hall 'F -4 2 3'
_cell_length_a 6.185
_cell_length_b 6.185
_cell_length_c 6.185
_cell_angle_alpha 90.00
_cell_angle_beta 90.00
_cell_angle_gamma 90.00
loop_
_atom_site_label
_atom_site_fract_x
_atom_site_fract_y
_atom_site_fract_z
Tc1 0.000 0.000 0.000
Hg1 0.000 0.000 0.500
Pt1 0.250 0.250 0.750
# Calculated total energy ... -4.97 eV/atom
# ΔE_f ... 602 meV per atom
# Spin magnetization ... 4.4 Bohr magnetons per cell
# Crystal system ... cubic

***

# PBE HgTe3Pt2, relaxed
data_HgTe3Pt2
_space_group_name_H-M_alt 'P -3 m 1'
_space_group_IT_number 164
_space_group_name_Hall '-P 3 2"'
_cell_length_a 7.9927
_cell_length_b 7.9927
_cell_length_c 5.5405
_cell_angle_alpha 90.00
_cell_angle_beta 90.00
_cell_angle_gamma 120.00
loop_
_atom_site_label
_atom_site_fract_x
_atom_site_fract_y
_atom_site_fract_z
Hg1 0.3333 0.6667 0.1812
Te1 0.1717 0.3434 0.7445
Pt1 0.0000 0.0000 0.5000
Pt2 0.0000 0.5000 0.5000
# Calculated total energy ... -3.99 eV/atom
# Spin magnetization ... 0.0 Bohr magnetons per cell
# Crystal system ... trigonal

***

# PBE TlHg3Te4Pt, relaxed
data_TlHg3Te4Pt
_space_group_name_H-M_alt 'P -4 3 m'
_space_group_IT_number 215
_space_group_name_Hall 'P -4 2 3'
_cell_length_a 6.827
_cell_length_b 6.827
_cell_length_c 6.827
_cell_angle_alpha 90.00
_cell_angle_beta 90.00
_cell_angle_gamma 90.00
loop_
_atom_site_label
_atom_site_fract_x
_atom_site_fract_y
_atom_site_fract_z
Tl1 0.000 0.000 0.000
Hg1 0.000 0.500 0.500
Te1 0.266 0.266 0.266
Pt1 0.500 0.500 0.500
# Calculated total energy ... -2.40 eV/atom
# Spin magnetization ... 0.0 Bohr magnetons per cell
# Crystal system ... cubic

***

# PBE ThHgPt, relaxed
data_ThHgPt
_space_group_name_H-M_alt 'F -4 3 m'
_space_group_IT_number 216
_space_group_name_Hall 'F -4 2 3'
_cell_length_a 6.818
_cell_length_b 6.818
_cell_length_c 6.818
_cell_angle_alpha 90.00
_cell_angle_beta 90.00
_cell_angle_gamma 90.00
loop_
_atom_site_label
_atom_site_fract_x
_atom_site_fract_y
_atom_site_fract_z
Th1 0.000 0.000 0.000
Hg1 0.250 0.250 0.750
Pt1 0.000 0.000 0.500
# Calculated total energy ... -4.80 eV/atom
# ΔE_f ... -211 meV per atom
# Spin magnetization ... 0.0 Bohr magnetons per cell
# Crystal system ... cubic

***

# PBE TlHg2Pt, relaxed
data_TlHg2Pt
_space_group_name_H-M_alt 'F -4 3 m'
_space_group_IT_number 216
_space_group_name_Hall 'F -4 2 3'
_cell_length_a 7.002
_cell_length_b 7.002
_cell_length_c 7.002
_cell_angle_alpha 90.00
_cell_angle_beta 90.00
_cell_angle_gamma 90.00
loop_
_atom_site_label
_atom_site_fract_x
_atom_site_fract_y
_atom_site_fract_z
Tl1 0.000 0.000 0.000
Hg1 0.000 0.000 0.500
Hg2 0.250 0.250 0.750
Pt1 0.250 0.250 0.250
# Calculated total energy ... -2.05 eV/atom
# Spin magnetization ... 0.0 Bohr magnetons per cell
# Crystal system ... cubic

***

# PBE TlHgPt2, relaxed
data_TlHgPt2
_space_group_name_H-M_alt 'F -4 3 m'
_space_group_IT_number 216
_space_group_name_Hall 'F -4 2 3'
_cell_length_a 6.699
_cell_length_b 6.699
_cell_length_c 6.699
_cell_angle_alpha 90.00
_cell_angle_beta 90.00
_cell_angle_gamma 90.00
loop_
_atom_site_label
_atom_site_fract_x
_atom_site_fract_y
_atom_site_fract_z
Tl1 0.000 0.000 0.000
Hg1 0.250 0.250 0.250
Pt1 0.000 0.000 0.500
Pt2 0.250 0.250 0.750
# Calculated total energy ... -3.47 eV/atom
# Spin magnetization ... 0.0 Bohr magnetons per cell
# Crystal system ... cubic

***

# PBE TmHgPt, relaxed
data_TmHgPt
_space_group_name_H-M_alt 'F -4 3 m'
_space_group_IT_number 216
_space_group_name_Hall 'F -4 2 3'
_cell_length_a 6.701
_cell_length_b 6.701
_cell_length_c 6.701
_cell_angle_alpha 90.00
_cell_angle_beta 90.00
_cell_angle_gamma 90.00
loop_
_atom_site_label
_atom_site_fract_x
_atom_site_fract_y
_atom_site_fract_z
Tm1 0.000 0.000 0.000
Hg1 0.250 0.250 0.750
Pt1 0.250 0.250 0.250
# Calculated total energy ... -4.05 eV/atom
# ΔE_f ... -436 meV per atom
# Spin magnetization ... 0.0 Bohr magnetons per cell
# Crystal system ... cubic

***

# PBE TmHgPt, relaxed
data_TmHgPt
_space_group_name_H-M_alt 'F -4 3 m'
_space_group_IT_number 216
_space_group_name_Hall 'F -4 2 3'
_cell_length_a 6.605
_cell_length_b 6.605
_cell_length_c 6.605
_cell_angle_alpha 90.00
_cell_angle_beta 90.00
_cell_angle_gamma 90.00
loop_
_atom_site_label
_atom_site_fract_x
_atom_site_fract_y
_atom_site_fract_z
Tm1 0.000 0.000 0.000
Hg1 0.000 0.000 0.500
Pt1 0.250 0.250 0.750
# Calculated total energy ... -4.37 eV/atom
# ΔE_f ... -764 meV per atom
# Spin magnetization ... 0.0 Bohr magnetons per cell
# Crystal system ... cubic